[1]
Computed, not measured: an optimized crystal structure of Er2PdO4 at the PBE level of DFT.

a = 5.525 Å, b = 5.547 Å, c = 11.708 Å
α = 90.00°, β = 90.00°, γ = 90.00°
Space group Pbca (No. 61)
Symmetry-distinct sites (fractional):
Er  0.008  0.037  0.160
Pd  0.000  0.000  0.500
O  0.175  0.676  0.510
O  0.241  0.212  0.756

Values from the calculation:
- Total magnetization: 0.00 Bohr magnetons per cell

=====

[2]
Computed, not measured: an optimized crystal structure of Tl2CuSn at the PBE level of DFT.

a = 7.383 Å, b = 7.383 Å, c = 7.383 Å
α = 90.00°, β = 90.00°, γ = 90.00°
Space group F-43m (No. 216)
Symmetry-distinct sites (fractional):
Tl  0.000  0.000  0.000
Tl  0.250  0.250  0.250
Cu  0.250  0.250  0.750
Sn  0.000  0.000  0.500

=====

[3]
Computed, not measured: an optimized crystal structure of LiNpFe at the PBE level of DFT.

a = 5.925 Å, b = 5.925 Å, c = 5.925 Å
α = 90.00°, β = 90.00°, γ = 90.00°
Space group F-43m (No. 216)
Symmetry-distinct sites (fractional):
Li  0.000  0.000  0.000
Np  0.000  0.000  0.500
Fe  0.250  0.250  0.750

Values from the calculation:
- Total magnetization: 13.83 Bohr magnetons per cell
- Relative energy among the computed polymorphs: 0.0000 eV per atom

=====

[4]
Computed, not measured: an optimized crystal structure of Ho3Lu3BiTeOs at the PBE level of DFT.

a = 8.1773 Å, b = 8.1773 Å, c = 4.1393 Å
α = 90.00°, β = 90.00°, γ = 120.00°
Space group P-6 (No. 174)
Symmetry-distinct sites (fractional):
Ho  0.0017  0.6163  0.0000
Lu  0.0011  0.2338  0.5000
Bi  0.6667  0.3333  0.5000
Te  0.3333  0.6667  0.5000
Os  0.0000  0.0000  0.0000

Values from the calculation:
- Total magnetization: 0.02 Bohr magnetons per cell

=====

[5]
Computed, not measured: an optimized crystal structure of Li2TaPO4 at the PBE level of DFT.

a = 2.9103 Å, b = 2.9103 Å, c = 10.3515 Å
α = 90.00°, β = 90.00°, γ = 120.00°
Space group P-6m2 (No. 187)
Symmetry-distinct sites (fractional):
Li  0.0000  0.0000  0.2450
Ta  0.3333  0.6667  0.5000
P  0.6667  0.3333  0.0000
O  0.3333  0.6667  0.1255
O  0.6667  0.3333  0.3718

Values from the calculation:
- Total magnetization: 0.02 Bohr magnetons per cell

=====

[6]
Computed, not measured: an optimized crystal structure of RbPm2F7 at the PBE level of DFT.

a = 7.100 Å, b = 11.311 Å, c = 4.398 Å
α = 90.00°, β = 90.00°, γ = 90.00°
Space group Cmmm (No. 65)
Symmetry-distinct sites (fractional):
Rb  0.000  0.000  0.000
Pm  0.000  0.304  0.500
F  0.000  0.272  0.000
F  0.000  0.500  0.500
F  0.190  0.137  0.500

Values from the calculation:
- Total magnetization: 0.00 Bohr magnetons per cell

=====

[7]
Computed, not measured: an optimized crystal structure of NaNdHg3Te4 at the PBE level of DFT.

a = 7.167 Å, b = 7.167 Å, c = 7.167 Å
α = 90.00°, β = 90.00°, γ = 90.00°
Space group P-43m (No. 215)
Symmetry-distinct sites (fractional):
Na  0.000  0.000  0.000
Nd  0.500  0.500  0.500
Hg  0.000  0.500  0.500
Te  0.257  0.257  0.257

Values from the calculation:
- Total magnetization: 0.00 Bohr magnetons per cell

=====

[8]
Computed, not measured: an optimized crystal structure of ScZn2Ir at the PBE level of DFT.

a = 6.318 Å, b = 6.318 Å, c = 6.318 Å
α = 90.00°, β = 90.00°, γ = 90.00°
Space group F-43m (No. 216)
Symmetry-distinct sites (fractional):
Sc  0.000  0.000  0.000
Zn  0.000  0.000  0.500
Zn  0.250  0.250  0.750
Ir  0.250  0.250  0.250

Values from the calculation:
- DFT formation energy: -42 kJ per mole of atoms
- Total magnetization: 0.00 Bohr magnetons per cell

=====

Number 1: theoretical density 9.35 Mg/m³, V 12.82 A^3/atom, E -53.0 eV/f.u.. Number 2: theoretical density 9.75 Mg/m³, V 25.15 A^3/atom, E -11.3 eV/f.u.. Number 3: theoretical density 9.57 Mg/m³, V 17.34 A^3/atom, E -21.2 eV/f.u.. Number 4: theoretical density 10.71 Mg/m³, V 26.63 A^3/atom, E -51.7 eV/f.u.. Number 5: theoretical density 6.34 Mg/m³, V 9.49 A^3/atom, E -54.0 eV/f.u.. Number 6: theoretical density 4.78 Mg/m³, V 17.66 A^3/atom, E -61.8 eV/f.u.. Number 7: theoretical density 5.77 Mg/m³, V 40.91 A^3/atom, E -23.7 eV/f.u.. Number 8: theoretical density 9.69 Mg/m³, V 15.76 A^3/atom, E -19.5 eV/f.u..